{"formula": "Cr4Cu3BiO12", "functional": "PBE+U", "state": "optimized geometry", "lattice": [[-4.9378, 2.9588, 2.8935], [-2.2558, -4.2857, -4.2489], [3.5738, -3.0341, 4.4194]], "species": ["O", "Cr", "Bi", "Cu", "O", "O", "O", "O", "Cr", "O", "Cr", "O", "Cr", "O", "O", "Cu", "O", "Cu", "O", "O"], "fractional_positions": [[0.5197, 0.6886, 0.8312], [0.5000, 0.0000, 0.0000], [0.0000, 0.0000, 0.0000], [0.5000, 0.5000, 0.0000], [0.4803, 0.3114, 0.1688], [0.8312, 0.1426, 0.3114], [0.1688, 0.4803, 0.3114], [0.8312, 0.5197, 0.6886], [0.0000, 0.0000, 0.5000], [0.3114, 0.8312, 0.1426], [0.0000, 0.5000, 0.0000], [0.3114, 0.1688, 0.4803], [0.5000, 0.5000, 0.5000], [0.6886, 0.1688, 0.8574], [0.1426, 0.3114, 0.8312], [0.5000, 0.0000, 0.5000], [0.6886, 0.8312, 0.5197], [0.0000, 0.5000, 0.5000], [0.1688, 0.8574, 0.6886], [0.8574, 0.6886, 0.1688]], "magnetic_moment_mub_per_fu": 12.0, "total_energy_ev_per_atom": -6.5983}